Record 1
# La2ZrSe

A geometry-optimized La2ZrSe structure (GGA-PBE, Alexandria).

POSCAR file:
```
La2ZrSe
1.0
7.000 0.266 -0.044
4.049 5.716 0.044
-4.978 -4.001 2.879
La Se Zr
2 1 1
direct
0.003 0.003 0.000
0.707 0.207 0.500
0.486 0.486 0.000
0.303 0.803 0.500
```

Space group   Imm2 (44)
ΔE_f (raw)   -223 kJ/mol of formula units

---

Record 2
# La2ZrSe

A geometry-optimized La2ZrSe structure (GGA-PBE, Alexandria).

POSCAR file:
```
La2ZrSe
1.0
3.626 0.007 0.000
-0.024 3.626 0.000
0.000 0.000 8.697
La Se Zr
2 1 1
direct
0.000 0.000 0.027
0.000 0.000 0.473
0.500 0.500 0.250
0.500 0.500 0.750
```

Space group   Cmmm (65)
ΔE_f (raw)   -236 kJ/mol of formula units

---

Record 3
# LaZr2Se

A geometry-optimized LaZr2Se structure (GGA-PBE, Alexandria).

POSCAR file:
```
LaZr2Se
1.0
3.533 0.000 0.000
0.000 3.533 0.000
0.000 0.000 7.985
La Se Zr
1 1 2
direct
0.000 0.000 0.507
0.500 0.500 0.809
0.000 0.000 0.971
0.500 0.500 0.213
```

Space group   P4mm (99)
ΔE_f (raw)   -216 kJ/mol of formula units

---

Record 4
# LaZr2Se

A geometry-optimized LaZr2Se structure (GGA-PBE, Alexandria).

POSCAR file:
```
LaZr2Se
1.0
6.227 0.014 -0.005
3.110 5.394 0.005
-4.069 -3.738 2.870
La Se Zr
1 1 2
direct
0.491 0.491 0.000
0.223 0.723 0.500
0.024 0.024 0.000
0.763 0.263 0.500
```

Space group   Imm2 (44)
ΔE_f (raw)   -116 kJ/mol of formula units